Record 1
TlSiI2, relaxed, DFT PBE-GGA; crystal system = cubic; calculated volume = 31.51 Å³/atom; E_form (uncorrected) = 0.263 eV per atom; calculated total energy = -2.46 eV per atom; polymorph energy (0 for the lowest one) = 78.0 meV per atom; N(E_F) = 0.634 states/eV/atom
1.0
0.000 3.980 3.980
3.980 0.000 3.980
3.980 3.980 0.000
Si I Tl
1 2 1
Cartesian
0.000 0.000 0.000
1.990 1.990 1.990
5.969 5.969 5.969
3.980 3.980 3.980

Record 2
Tl3Si5I12, relaxed, DFT PBE-GGA; crystal system = cubic; calculated volume = 42.82 Å³/atom; E_form (uncorrected) = -0.074 eV per atom; calculated total energy = -2.71 eV per atom; N(E_F) = 0.333 states/eV/atom
1.0
-1.859 16.311 1.013
-4.707 -6.944 14.148
15.804 -3.550 -2.858
Tl I Si
12 48 20
Cartesian
-3.181 8.621 11.140
0.312 0.890 8.508
12.419 -2.803 1.163
10.422 -3.368 6.595
5.650 -1.310 9.204
3.588 7.127 3.098
4.365 3.939 11.353
-1.184 9.186 5.708
7.502 -6.699 10.363
1.736 12.517 1.940
4.873 1.879 0.950
8.926 4.928 3.795
10.268 -0.159 -0.636
7.140 6.388 10.275
2.633 7.222 11.083
-1.323 3.210 5.900
4.971 0.470 12.556
-5.505 7.071 13.600
9.925 7.216 6.555
7.034 7.616 1.780
11.065 -5.442 3.410
1.859 9.168 0.322
6.605 -1.404 1.220
-1.030 5.977 12.939
11.834 2.994 2.508
11.478 7.628 2.766
-0.107 6.701 2.965
6.631 1.862 4.230
-2.240 -1.810 9.537
14.743 -1.254 -1.297
-2.717 -5.234 12.751
8.070 -6.420 6.695
6.875 -2.590 5.781
2.607 3.956 8.073
1.168 12.238 5.607
4.527 10.652 3.835
11.955 11.052 -0.448
10.561 2.608 6.402
7.379 -3.350 11.981
-1.827 11.260 8.893
4.711 -4.835 8.467
10.769 -4.676 10.062
2.204 -1.798 10.522
3.376 0.231 6.500
1.155 1.902 11.989
4.267 5.348 -0.253
2.363 8.408 6.522
2.897 3.541 3.812
-0.687 -1.398 5.748
-1.531 10.494 2.241
10.479 -0.847 3.858
5.862 5.587 5.802
-2.596 2.823 9.795
8.083 3.916 0.314
9.345 -0.883 9.338
6.341 2.277 8.491
1.708 -6.316 11.794
7.530 12.134 0.508
-1.241 6.664 8.444
2.098 -0.570 2.028
0.000 0.000 0.000
7.902 -1.775 -1.429
-2.608 -2.441 12.276
7.648 -0.745 3.772
0.102 3.937 3.560
2.164 -4.500 9.666
-0.929 8.156 0.506
10.568 2.586 0.004
-1.329 3.231 12.298
9.136 1.881 8.743
-3.283 4.684 7.580
7.074 10.318 2.637
1.954 -1.452 4.718
7.285 7.270 7.585
5.549 -5.247 5.645
1.590 6.563 8.530
6.973 6.381 -0.923
-2.353 -3.472 7.074
11.846 8.259 0.027
4.619 2.909 6.151

Record 3
TlSiI2, relaxed, DFT PBE-GGA; crystal system = tetragonal; calculated volume = 47.14 Å³/atom; E_form (uncorrected) = 0.185 eV per atom; calculated total energy = -2.54 eV per atom; polymorph energy (0 for the lowest one) = 0.0 meV per atom; N(E_F) = 0.646 states/eV/atom
1.0
6.644 0.000 0.000
0.000 6.644 0.000
3.322 3.322 8.544
Tl I Si
2 4 2
Cartesian
6.644 3.322 4.272
0.000 0.000 0.000
4.983 5.478 6.408
2.156 4.983 2.136
8.305 7.809 6.408
4.487 1.661 2.136
3.322 6.644 4.272
3.322 3.322 0.000

Record 4
TlSi2I8, relaxed, DFT PBE-GGA; crystal system = monoclinic; calculated volume = 56.58 Å³/atom; E_form (uncorrected) = -0.298 eV per atom; calculated total energy = -2.63 eV per atom; N(E_F) = 0.572 states/eV/atom
1.0
-4.072 -5.626 -2.683
5.816 -7.149 1.700
-3.356 -3.519 8.011
Tl I Si
1 8 2
Cartesian
0.000 0.000 0.000
3.516 -9.269 3.395
0.820 -9.378 -0.461
-2.034 -11.472 3.641
-2.432 -6.915 7.488
-5.128 -7.025 3.632
0.532 -10.296 6.694
0.422 -4.822 3.386
-2.144 -5.997 0.333
-0.754 -4.088 1.256
-0.858 -12.205 5.771

Record 5
TlSi3I, relaxed, DFT PBE-GGA; crystal system = cubic; calculated volume = 30.82 Å³/atom; E_form (uncorrected) = 1.377 eV per atom; calculated total energy = -2.66 eV per atom; polymorph energy (0 for the lowest one) = 0.0 meV per atom; N(E_F) = 1.321 states/eV/atom
1.0
5.361 0.000 0.000
0.000 5.361 0.000
0.000 0.000 5.361
Si I Tl
3 1 1
Cartesian
0.000 0.000 2.680
0.000 2.680 0.000
2.680 0.000 0.000
2.680 2.680 2.680
0.000 0.000 0.000

Record 6
Tl2SiI, relaxed, DFT PBE-GGA; crystal system = tetragonal; calculated volume = 41.99 Å³/atom; E_form (uncorrected) = 0.202 eV per atom; calculated total energy = -2.72 eV per atom; polymorph energy (0 for the lowest one) = 0.0 meV per atom; N(E_F) = 0.298 states/eV/atom
1.0
-1.951 -3.779 5.364
3.720 -5.247 -2.343
6.545 -2.160 5.227
Tl Si I
4 2 2
Cartesian
6.170 -9.114 6.744
3.567 -4.582 0.925
1.032 -3.267 3.954
5.858 -5.408 4.873
5.575 -5.960 2.197
0.884 -4.513 1.511
0.000 0.000 0.000
2.739 -5.226 6.051

Record 7
Tm4SiI5, relaxed, DFT PBE-GGA; crystal system = monoclinic; calculated volume = 33.20 Å³/atom; E_form (uncorrected) = -1.095 eV per atom; calculated total energy = -4.20 eV per atom; N(E_F) = 0.364 states/eV/atom
1.0
-3.315 2.293 0.957
-3.698 -6.909 3.740
6.433 2.767 6.684
Tm I Si
4 5 1
Cartesian
-2.934 -5.483 2.970
2.354 3.634 8.411
-0.552 1.771 2.811
-0.028 -3.620 8.571
-0.924 -0.830 7.751
-3.507 -2.308 2.349
0.847 2.541 5.810
-1.427 -4.390 5.571
0.344 -1.018 3.631
-1.657 1.146 0.479

Record 8
Tm7SiI12, relaxed, DFT PBE-GGA; crystal system = trigonal; calculated volume = 35.95 Å³/atom; E_form (uncorrected) = -1.180 eV per atom; calculated total energy = -3.95 eV per atom; N(E_F) = 0.613 states/eV/atom
1.0
9.182 -0.229 -2.817
-3.748 8.385 -2.817
-0.152 -0.229 9.603
Si I Tm
1 12 7
Cartesian
0.000 0.000 0.000
1.645 6.822 2.003
-0.146 6.196 5.797
1.693 0.440 5.721
3.499 4.145 4.882
5.427 1.732 -1.827
3.589 7.488 -1.752
7.174 2.252 3.934
-1.892 5.676 0.035
5.378 4.825 1.023
3.637 1.106 1.966
1.783 3.783 -0.912
-0.096 3.102 2.947
2.420 0.765 -0.849
6.160 5.400 3.951
4.521 7.765 1.409
0.761 0.163 2.561
2.862 7.163 4.819
-0.878 2.528 0.019
2.641 3.964 1.985

Record 9
Tm2SiI3, relaxed, DFT PBE-GGA; crystal system = monoclinic; calculated volume = 39.23 Å³/atom; E_form (uncorrected) = -0.949 eV per atom; calculated total energy = -4.12 eV per atom; N(E_F) = 0.150 states/eV/atom
1.0
-0.532 1.852 3.625
-10.855 -3.062 2.297
2.201 -7.709 6.586
I Tm Si
6 4 2
Cartesian
-1.017 -2.866 3.640
-8.839 -2.667 7.040
-0.346 -6.252 5.468
-5.308 -8.297 10.434
-8.169 -6.053 8.868
-3.878 -0.623 2.074
-2.115 -3.809 6.285
-3.535 -5.933 9.486
-5.651 -2.986 3.021
-7.071 -5.110 6.223
-4.886 -3.451 5.695
-4.300 -5.468 6.812

Record 10
Tm3Si2I2, relaxed, DFT PBE-GGA; crystal system = monoclinic; calculated volume = 30.06 Å³/atom; E_form (uncorrected) = -0.697 eV per atom; calculated total energy = -4.61 eV per atom; N(E_F) = 0.706 states/eV/atom
1.0
-2.046 -0.701 3.403
-1.392 -5.476 -4.347
6.411 -2.776 3.284
Tm I Si
3 2 2
Cartesian
-0.885 -3.914 1.055
3.859 -5.039 1.284
0.000 0.000 0.000
1.083 -6.425 1.720
1.891 -2.528 0.620
4.112 -4.265 3.984
-1.138 -4.688 -1.644

Record 11
VSi3I, relaxed, DFT PBE-GGA; crystal system = cubic; calculated volume = 22.34 Å³/atom; E_form (uncorrected) = 0.595 eV per atom; calculated total energy = -4.79 eV per atom; polymorph energy (0 for the lowest one) = 0.0 meV per atom; N(E_F) = 0.833 states/eV/atom
1.0
4.816 0.000 0.000
0.000 4.816 0.000
0.000 0.000 4.816
Si I V
3 1 1
Cartesian
0.000 0.000 2.408
0.000 2.408 0.000
2.408 0.000 0.000
2.408 2.408 2.408
0.000 0.000 0.000

Record 12
VSiI3, relaxed, DFT PBE-GGA; crystal system = cubic; calculated volume = 35.51 Å³/atom; E_form (uncorrected) = 0.636 eV per atom; calculated total energy = -3.20 eV per atom; polymorph energy (0 for the lowest one) = 194.6 meV per atom; N(E_F) = 2.091 states/eV/atom
1.0
-3.176 3.512 -3.029
2.375 -1.921 -4.718
-3.983 -3.946 -0.398
I Si V
3 1 1
Cartesian
-1.588 1.756 -1.514
1.187 -0.961 -2.359
-1.992 -1.973 -0.199
0.000 0.000 0.000
-2.392 -1.178 -4.072

Record 13
V3SiI, relaxed, DFT PBE-GGA; crystal system = cubic; calculated volume = 21.03 Å³/atom; E_form (uncorrected) = 0.853 eV per atom; calculated total energy = -6.01 eV per atom; polymorph energy (0 for the lowest one) = 0.0 meV per atom; N(E_F) = 1.258 states/eV/atom
1.0
-1.382 -3.759 -2.498
2.297 -2.834 2.995
-3.885 -0.339 2.659
Si V I
1 3 1
Cartesian
0.000 0.000 0.000
-0.691 -1.879 -1.249
-1.942 -0.169 1.330
1.149 -1.417 1.497
-1.485 -3.466 1.578

Record 14
V2SiI, relaxed, DFT PBE-GGA; crystal system = cubic; calculated volume = 15.94 Å³/atom; E_form (uncorrected) = 0.472 eV per atom; calculated total energy = -5.83 eV per atom; polymorph energy (0 for the lowest one) = 0.0 meV per atom; N(E_F) = 1.135 states/eV/atom
1.0
0.000 3.171 3.171
3.171 0.000 3.171
3.171 3.171 0.000
I V Si
1 2 1
Cartesian
3.171 3.171 3.171
1.585 1.585 1.585
4.756 4.756 4.756
0.000 0.000 0.000

Record 15
VSiI2, relaxed, DFT PBE-GGA; crystal system = cubic; calculated volume = 24.44 Å³/atom; E_form (uncorrected) = 0.755 eV per atom; calculated total energy = -3.66 eV per atom; polymorph energy (0 for the lowest one) = 122.2 meV per atom; N(E_F) = 1.412 states/eV/atom
1.0
-3.299 0.686 3.922
-4.478 2.463 -0.789
-4.452 -2.627 0.123
I V Si
2 1 1
Cartesian
-9.172 0.392 2.443
-3.057 0.131 0.814
-6.114 0.261 1.628
0.000 0.000 0.000

Record 16
VSiI2, relaxed, DFT PBE-GGA; crystal system = tetragonal; calculated volume = 27.72 Å³/atom; E_form (uncorrected) = 0.633 eV per atom; calculated total energy = -3.78 eV per atom; polymorph energy (0 for the lowest one) = 0.0 meV per atom; N(E_F) = 0.328 states/eV/atom
1.0
7.890 0.000 0.000
0.000 7.890 0.000
3.945 3.945 3.562
I Si V
4 2 2
Cartesian
6.149 1.973 0.890
5.918 5.686 2.671
1.741 5.918 0.890
9.863 10.095 2.671
3.945 7.890 1.781
3.945 3.945 0.000
7.890 3.945 1.781
0.000 0.000 0.000

Record 17
VSiI3, relaxed, DFT PBE-GGA; crystal system = cubic; calculated volume = 33.57 Å³/atom; E_form (uncorrected) = 0.441 eV per atom; calculated total energy = -3.40 eV per atom; polymorph energy (0 for the lowest one) = 0.0 meV per atom; N(E_F) = 0.656 states/eV/atom
1.0
-2.280 -4.807 1.457
-0.003 -1.599 -5.280
5.023 -2.183 0.658
I V Si
3 1 1
Cartesian
2.512 -1.092 0.329
-1.140 -2.404 0.728
-0.001 -0.799 -2.640
0.000 0.000 0.000
1.370 -4.295 -1.582

Record 18
V2SiI, relaxed, DFT PBE-GGA; crystal system = tetragonal; calculated volume = 26.05 Å³/atom; E_form (uncorrected) = 0.668 eV per atom; calculated total energy = -5.63 eV per atom; polymorph energy (0 for the lowest one) = 196.0 meV per atom; N(E_F) = 0.683 states/eV/atom
1.0
-0.761 -5.184 2.477
5.739 -0.561 0.588
2.182 -0.165 7.105
I V Si
2 4 2
Cartesian
1.955 -4.111 5.558
0.000 0.000 0.000
3.794 -2.306 6.508
0.826 -3.089 3.273
3.999 -1.302 2.579
5.702 -5.122 7.982
2.489 -2.873 1.533
5.205 -1.799 4.613

Record 19
V3SiI, relaxed, DFT PBE-GGA; crystal system = cubic; calculated volume = 21.06 Å³/atom; E_form (uncorrected) = 1.740 eV per atom; calculated total energy = -5.13 eV per atom; polymorph energy (0 for the lowest one) = 887.3 meV per atom; N(E_F) = 1.464 states/eV/atom
1.0
-2.130 -3.292 2.631
3.635 -2.927 -0.720
2.133 1.701 3.854
V Si I
3 1 1
Cartesian
1.817 -1.463 -0.360
-1.065 -1.646 1.316
1.066 0.850 1.927
1.819 -2.259 2.883
0.000 0.000 0.000

Record 20
Y2VSiI, relaxed, DFT PBE-GGA; crystal system = tetragonal; calculated volume = 28.56 Å³/atom; E_form (uncorrected) = 0.039 eV per atom; calculated total energy = -5.77 eV per atom; N(E_F) = 1.189 states/eV/atom
1.0
5.525 0.000 0.000
0.000 4.677 0.000
0.000 0.000 5.525
V Si I Y
1 1 1 2
Cartesian
0.000 2.339 0.000
0.000 0.000 0.000
2.763 2.339 2.763
0.000 0.000 2.763
2.763 0.000 0.000